No. 1
Computed, not measured: MoIr2Os after structural relaxation at the PBE-GGA level of DFT.

## Properties
Total DFT energy (no corrections) = -0.3714 Ha/atom
DOS(E_F) = 3.58 states/eV per cell

Lattice parameters (Å, degrees): 4.780 4.780 4.782 132.20 132.20 69.88
Positions (direct):
1 Mo 0.750 0.250 0.500
2 Ir 0.000 0.000 0.000
3 Ir 0.500 0.500 0.000
4 Os 0.250 0.750 0.500

No. 2
Computed, not measured: CaIn2Sb after structural relaxation at the PBE-GGA level of DFT.

## Properties
Total DFT energy (no corrections) = -0.1139 Ha/atom
DOS(E_F) = 0.61 states/eV per cell
Formation energy without anion corrections = -0.79 eV per formula unit

Lattice parameters (Å, degrees): 9.102 9.102 9.102 25.42 25.42 25.42
Positions (direct):
1 Sb 0.506 0.506 0.506
2 In 0.244 0.244 0.244
3 In 0.994 0.994 0.994
4 Ca 0.756 0.756 0.756

No. 3
Computed, not measured: MoIrCl2 after structural relaxation at the PBE-GGA level of DFT.

## Properties
Total DFT energy (no corrections) = -0.1758 Ha/atom
DOS(E_F) = 4.64 states/eV per cell
Formation energy without anion corrections = 4.25 eV per formula unit

Lattice parameters (Å, degrees): 4.834 4.834 4.834 130.61 130.61 72.43
Last column: magnetic moment on the atom in μB.
Positions (direct):
1 Ir 0.250 0.750 0.500  0.48
2 Cl 0.500 0.500 0.000  0.04
3 Cl 0.000 0.000 0.000  0.04
4 Mo 0.750 0.250 0.500  -0.28